1.
! SCAN RbBeCoAs2, PBEsol geometry; values from VASP
&SYSTEM
  ibrav = 0, nat = 5, ntyp = 4
/
ATOMIC_SPECIES
Rb 85.47 Rb.upf
Be 9.01 Be.upf
Co 58.93 Co.upf
As 74.92 As.upf
ATOMIC_POSITIONS angstrom
Rb 0.000 0.000 0.000
Be 0.000 0.000 2.398
Co 2.676 2.676 2.398
As 0.000 2.676 0.000
As 2.676 0.000 0.000
CELL_PARAMETERS angstrom
5.353 0.000 0.000
0.000 5.353 0.000
0.000 0.000 4.797
! Formation energy in meV per atom: 2481.8
! Magnetic moment in Bohr magnetons per cell: 2.8
! Space-group type: No. 123

2.
! SCAN ScHCCl2, PBEsol geometry; values from VASP
&SYSTEM
  ibrav = 0, nat = 5, ntyp = 4
/
ATOMIC_SPECIES
Sc 44.96 Sc.upf
H 1.01 H.upf
C 12.01 C.upf
Cl 35.45 Cl.upf
ATOMIC_POSITIONS angstrom
Sc 0.000 0.000 0.000
H 0.000 0.000 1.733
C 2.311 2.311 0.000
Cl 0.000 2.311 1.733
Cl 2.311 0.000 1.733
CELL_PARAMETERS angstrom
4.623 0.000 0.000
0.000 4.623 0.000
0.000 0.000 3.467
! Magnetic moment in Bohr magnetons per cell: 2.1
! Electronic total energy in eV/atom: -8.200
! Space-group type: No. 123

3.
! SCAN ZrFeSi4, PBEsol geometry; values from VASP
&SYSTEM
  ibrav = 0, nat = 6, ntyp = 3
/
ATOMIC_SPECIES
Zr 91.22 Zr.upf
Fe 55.84 Fe.upf
Si 28.09 Si.upf
ATOMIC_POSITIONS angstrom
Zr 0.000 0.000 0.000
Fe 5.211 5.211 5.211
Si 2.612 2.612 2.612
Si 4.336 4.336 2.612
Si 4.336 2.612 4.336
Si 2.612 4.336 4.336
CELL_PARAMETERS angstrom
0.000 3.474 3.474
3.474 0.000 3.474
3.474 3.474 0.000
! Formation energy (no corrections) in eV/atom: 0.10
! Magnetic moment in Bohr magnetons per cell: 2.7
! Space-group type: No. 216

4.
! SCAN La3MgSi, PBEsol geometry; values from VASP
&SYSTEM
  ibrav = 0, nat = 5, ntyp = 3
/
ATOMIC_SPECIES
La 138.91 La.upf
Mg 24.30 Mg.upf
Si 28.09 Si.upf
ATOMIC_POSITIONS angstrom
La 0.000 0.000 2.840
La 0.000 2.840 0.000
La 2.840 0.000 0.000
Mg 2.840 2.840 2.840
Si 0.000 0.000 0.000
CELL_PARAMETERS angstrom
5.679 0.000 0.000
0.000 5.679 0.000
0.000 0.000 5.679
! Formation energy (no corrections) in eV/atom: -0.10
! Magnetic moment in Bohr magnetons per cell: 1.2
! Space-group type: No. 221

5.
! SCAN Be3GaCl, PBEsol geometry; values from VASP
&SYSTEM
  ibrav = 0, nat = 5, ntyp = 3
/
ATOMIC_SPECIES
Be 9.01 Be.upf
Ga 69.72 Ga.upf
Cl 35.45 Cl.upf
ATOMIC_POSITIONS angstrom
Be 0.000 0.000 2.055
Be 0.000 2.055 0.000
Be 2.055 0.000 0.000
Ga 2.055 2.055 2.055
Cl 0.000 0.000 0.000
CELL_PARAMETERS angstrom
4.110 0.000 0.000
0.000 4.110 0.000
0.000 0.000 4.110
! Formation energy (no corrections) in eV/atom: 1.14
! Magnetic moment in Bohr magnetons per cell: 0.0
! Space-group type: No. 221

6.
! SCAN ZrTaMnCu2, PBEsol geometry; values from VASP
&SYSTEM
  ibrav = 0, nat = 5, ntyp = 4
/
ATOMIC_SPECIES
Zr 91.22 Zr.upf
Ta 180.95 Ta.upf
Mn 54.94 Mn.upf
Cu 63.55 Cu.upf
ATOMIC_POSITIONS angstrom
Zr 0.000 0.000 0.000
Ta 2.273 2.273 2.151
Mn 0.000 0.000 2.151
Cu 0.000 2.273 0.000
Cu 2.273 0.000 0.000
CELL_PARAMETERS angstrom
4.546 0.000 0.000
0.000 4.546 0.000
0.000 0.000 4.301
! Formation energy in meV per atom: 1600.0
! Magnetic moment in Bohr magnetons per cell: 2.7
! Space-group type: No. 123

7.
! SCAN AsRu, PBEsol geometry; values from VASP
&SYSTEM
  ibrav = 0, nat = 4, ntyp = 2
/
ATOMIC_SPECIES
As 74.92 As.upf
Ru 101.07 Ru.upf
ATOMIC_POSITIONS angstrom
As 0.773 0.773 0.773
As 5.414 5.414 5.414
Ru 2.320 2.320 2.320
Ru 3.867 3.867 3.867
CELL_PARAMETERS angstrom
0.000 3.094 3.094
3.094 0.000 3.094
3.094 3.094 0.000
! Formation energy in meV per atom: 508.4
! Magnetic moment in Bohr magnetons per cell: 0.0
! Space-group type: No. 227

8.
! SCAN SrSc2Mn, PBEsol geometry; values from VASP
&SYSTEM
  ibrav = 0, nat = 4, ntyp = 3
/
ATOMIC_SPECIES
Sr 87.62 Sr.upf
Sc 44.96 Sc.upf
Mn 54.94 Mn.upf
ATOMIC_POSITIONS angstrom
Sr 0.000 0.000 0.000
Sc 0.000 2.247 2.423
Sc 2.247 0.000 2.423
Mn 2.247 2.247 0.000
CELL_PARAMETERS angstrom
4.493 0.000 0.000
0.000 4.493 0.000
0.000 0.000 4.847
! Formation energy in meV per atom: 352.0
! ΔE to the lowest computed polymorph in meV per atom: 42
! Magnetic moment in Bohr magnetons per cell: 2.8
! Space-group type: No. 123

9.
! SCAN YCdSCl2, PBEsol geometry; values from VASP
&SYSTEM
  ibrav = 0, nat = 5, ntyp = 4
/
ATOMIC_SPECIES
Y 88.91 Y.upf
Cd 112.41 Cd.upf
S 32.06 S.upf
Cl 35.45 Cl.upf
ATOMIC_POSITIONS angstrom
Y 0.000 0.000 0.000
Cd 2.566 2.566 2.653
S 0.000 0.000 2.653
Cl 0.000 2.566 0.000
Cl 2.566 0.000 0.000
CELL_PARAMETERS angstrom
5.132 0.000 0.000
0.000 5.132 0.000
0.000 0.000 5.307
! Formation energy (no corrections) in eV/atom: -1.46
! Magnetic moment in Bohr magnetons per cell: 0.0
! Space-group type: No. 123

10.
! SCAN IrRuCl2, PBEsol geometry; values from VASP
&SYSTEM
  ibrav = 0, nat = 4, ntyp = 3
/
ATOMIC_SPECIES
Ir 192.22 Ir.upf
Ru 101.07 Ru.upf
Cl 35.45 Cl.upf
ATOMIC_POSITIONS angstrom
Ir 0.000 0.000 0.000
Ru 1.392 0.000 2.598
Cl 0.000 2.051 2.598
Cl 1.392 2.051 0.000
CELL_PARAMETERS angstrom
2.784 0.000 0.000
0.000 4.102 0.000
0.000 0.000 5.196
! ΔE to the lowest computed polymorph in meV per atom: 218
! Formation energy (no corrections) in eV/atom: 0.83
! Magnetic moment in Bohr magnetons per cell: 0.0
! Space-group type: No. 47

11.
! SCAN TlCd2, PBEsol geometry; values from VASP
&SYSTEM
  ibrav = 0, nat = 3, ntyp = 2
/
ATOMIC_SPECIES
Tl 204.38 Tl.upf
Cd 112.41 Cd.upf
ATOMIC_POSITIONS angstrom
Tl 0.000 0.000 0.000
Cd 0.000 2.946 1.616
Cd 2.552 1.473 1.616
CELL_PARAMETERS angstrom
5.103 0.000 0.000
-2.552 4.419 0.000
0.000 0.000 3.231
! Formation energy in meV per atom: 98.0
! Magnetic moment in Bohr magnetons per cell: 0.0
! Space-group type: No. 191

12.
! SCAN LiSiIr, PBEsol geometry; values from VASP
&SYSTEM
  ibrav = 0, nat = 3, ntyp = 3
/
ATOMIC_SPECIES
Li 6.94 Li.upf
Si 28.09 Si.upf
Ir 192.22 Ir.upf
ATOMIC_POSITIONS angstrom
Li 0.000 0.000 0.000
Si 1.392 0.804 4.031
Ir 0.000 1.607 2.178
CELL_PARAMETERS angstrom
2.784 0.000 0.000
-1.392 2.411 0.000
0.000 0.000 6.207
! Formation energy (no corrections) in eV/atom: -0.23
! Magnetic moment in Bohr magnetons per cell: 0.0
! Space-group type: No. 156

Look up the magnetic moment of the seventh one.
0.0 Bohr magnetons per cell